w.
Material: PmHfB
Method: DFT, GGA-PBE
State: relaxed

**Crystal system**: cubic
**Space-group type**: F-43m

Unit cell a=4.393 b=4.393 c=4.393 alpha=60.00 beta=60.00 gamma=60.00
Positions (direct):
Pm1 0.000 0.000 0.000
Hf1 0.500 0.500 0.500
B1 0.750 0.750 0.750

x.
Material: PmHfB
Method: DFT, GGA-PBE
State: relaxed

**Crystal system**: cubic
**Space-group type**: F-43m

Unit cell a=4.576 b=4.576 c=4.576 alpha=60.00 beta=60.00 gamma=60.00
Positions (direct):
Pm1 0.000 0.000 0.000
Hf1 0.250 0.250 0.250
B1 0.750 0.750 0.750

Going by the computed energies, the most stable comes first: w, x.

w.
Material: PmHfB4
Method: DFT, GGA-PBE
State: relaxed

**Crystal system**: hexagonal
**Space-group type**: P6/mmm

Unit cell a=3.216 b=3.216 c=7.619 alpha=90.00 beta=90.00 gamma=120.00
Positions (direct):
Pm1 0.000 0.000 0.000
Hf1 0.000 0.000 0.500
B1 0.333 0.667 0.277
B2 0.333 0.667 0.723
B3 0.667 0.333 0.277
B4 0.667 0.333 0.723

x.
Material: PmHfB4
Method: DFT, GGA-PBE
State: relaxed

**Crystal system**: orthorhombic
**Space-group type**: Immm

Unit cell a=4.982 b=4.982 c=4.982 alpha=142.04 beta=110.91 gamma=81.64
Positions (direct):
Pm1 0.000 0.000 0.000
Hf1 0.500 0.500 0.000
B1 0.088 0.754 0.334
B2 0.419 0.754 0.666
B3 0.581 0.246 0.334
B4 0.912 0.246 0.666

Going by the computed energies, the most stable comes first: w, x.

w.
Material: HfB4Pt
Method: DFT, GGA-PBE
State: relaxed

**Crystal system**: orthorhombic
**Space-group type**: Immm

Unit cell a=4.804 b=4.804 c=4.804 alpha=142.15 beta=115.60 gamma=77.19
Positions (direct):
Hf1 0.000 0.000 0.000
B1 0.044 0.729 0.315
B2 0.414 0.729 0.685
B3 0.586 0.271 0.315
B4 0.956 0.271 0.685
Pt1 0.500 0.500 0.000

x.
Material: HfB4Pt
Method: DFT, GGA-PBE
State: relaxed

**Crystal system**: hexagonal
**Space-group type**: P6/mmm

Unit cell a=3.174 b=3.174 c=6.661 alpha=90.00 beta=90.00 gamma=120.00
Positions (direct):
Hf1 0.000 0.000 0.000
B1 0.333 0.667 0.249
B2 0.333 0.667 0.751
B3 0.667 0.333 0.249
B4 0.667 0.333 0.751
Pt1 0.000 0.000 0.500

Going by the computed energies, the most stable comes first: w, x.

w.
Material: HfBSb
Method: DFT, GGA-PBE
State: relaxed

**Crystal system**: cubic
**Space-group type**: F-43m

Unit cell a=4.275 b=4.275 c=4.275 alpha=60.00 beta=60.00 gamma=60.00
Positions (direct):
Hf1 0.000 0.000 0.000
B1 0.250 0.250 0.250
Sb1 0.500 0.500 0.500

x.
Material: HfBSb
Method: DFT, GGA-PBE
State: relaxed

**Crystal system**: cubic
**Space-group type**: F-43m

Unit cell a=4.513 b=4.513 c=4.513 alpha=60.00 beta=60.00 gamma=60.00
Positions (direct):
Hf1 0.000 0.000 0.000
B1 0.750 0.750 0.750
Sb1 0.250 0.250 0.250

Going by the computed energies, the most stable comes first: w, x.

w.
Material: HfB4Sb
Method: DFT, GGA-PBE
State: relaxed

**Crystal system**: orthorhombic
**Space-group type**: Immm

Unit cell a=4.999 b=4.999 c=4.999 alpha=143.82 beta=113.87 gamma=77.77
Positions (direct):
Hf1 0.000 0.000 0.000
B1 0.080 0.747 0.333
B2 0.414 0.747 0.667
B3 0.586 0.253 0.333
B4 0.920 0.253 0.667
Sb1 0.500 0.500 0.000

x.
Material: HfB4Sb
Method: DFT, GGA-PBE
State: relaxed

**Crystal system**: hexagonal
**Space-group type**: P6/mmm

Unit cell a=3.147 b=3.147 c=7.987 alpha=90.00 beta=90.00 gamma=120.00
Positions (direct):
Hf1 0.000 0.000 0.000
B1 0.333 0.667 0.213
B2 0.333 0.667 0.787
B3 0.667 0.333 0.213
B4 0.667 0.333 0.787
Sb1 0.000 0.000 0.500

Going by the computed energies, the most stable comes first: x, w.

w.
Material: HfSiB4
Method: DFT, GGA-PBE
State: relaxed

**Crystal system**: orthorhombic
**Space-group type**: Immm

Unit cell a=4.717 b=4.717 c=4.717 alpha=142.48 beta=112.87 gamma=79.52
Positions (direct):
Hf1 0.000 0.000 0.000
Si1 0.500 0.500 0.000
B1 0.086 0.753 0.334
B2 0.419 0.753 0.666
B3 0.581 0.247 0.334
B4 0.914 0.247 0.666

x.
Material: HfSiB4
Method: DFT, GGA-PBE
State: relaxed

**Crystal system**: hexagonal
**Space-group type**: P6/mmm

Unit cell a=3.057 b=3.057 c=7.152 alpha=90.00 beta=90.00 gamma=120.00
Positions (direct):
Hf1 0.000 0.000 0.000
Si1 0.000 0.000 0.500
B1 0.333 0.667 0.253
B2 0.333 0.667 0.747
B3 0.667 0.333 0.253
B4 0.667 0.333 0.747

Going by the computed energies, the most stable comes first: x, w.

w.
Material: SmHfB
Method: DFT, GGA-PBE
State: relaxed

**Crystal system**: cubic
**Space-group type**: F-43m

Unit cell a=4.565 b=4.565 c=4.565 alpha=60.00 beta=60.00 gamma=60.00
Positions (direct):
Sm1 0.000 0.000 0.000
Hf1 0.250 0.250 0.250
B1 0.750 0.750 0.750

x.
Material: SmHfB
Method: DFT, GGA-PBE
State: relaxed

**Crystal system**: cubic
**Space-group type**: F-43m

Unit cell a=4.379 b=4.379 c=4.379 alpha=60.00 beta=60.00 gamma=60.00
Positions (direct):
Sm1 0.000 0.000 0.000
Hf1 0.500 0.500 0.500
B1 0.750 0.750 0.750

Going by the computed energies, the most stable comes first: x, w.

w.
Material: HfTlB4
Method: DFT, GGA-PBE
State: relaxed

**Crystal system**: hexagonal
**Space-group type**: P6/mmm

Unit cell a=3.155 b=3.155 c=8.613 alpha=90.00 beta=90.00 gamma=120.00
Positions (direct):
Hf1 0.000 0.000 0.000
Tl1 0.000 0.000 0.500
B1 0.333 0.667 0.195
B2 0.333 0.667 0.805
B3 0.667 0.333 0.195
B4 0.667 0.333 0.805

x.
Material: HfTlB4
Method: DFT, GGA-PBE
State: relaxed

**Crystal system**: orthorhombic
**Space-group type**: Immm

Unit cell a=5.066 b=5.066 c=5.066 alpha=143.95 beta=116.84 gamma=74.93
Positions (direct):
Hf1 0.000 0.000 0.000
Tl1 0.500 0.500 0.000
B1 0.073 0.742 0.331
B2 0.411 0.742 0.669
B3 0.589 0.258 0.331
B4 0.927 0.258 0.669

Going by the computed energies, the most stable comes first: w, x.

w.
Material: Hf2ZnB
Method: DFT, GGA-PBE
State: relaxed

**Crystal system**: hexagonal
**Space-group type**: P6_3/mmc

Unit cell a=3.372 b=3.372 c=14.242 alpha=90.00 beta=90.00 gamma=120.00
Positions (direct):
Hf1 0.333 0.667 0.092
Hf2 0.333 0.667 0.408
Hf3 0.667 0.333 0.592
Hf4 0.667 0.333 0.908
Zn1 0.333 0.667 0.750
Zn2 0.667 0.333 0.250
B1 0.000 0.000 0.000
B2 0.000 0.000 0.500

x.
Material: Hf2ZnB
Method: DFT, GGA-PBE
State: relaxed

**Crystal system**: cubic
**Space-group type**: F-43m

Unit cell a=4.528 b=4.528 c=4.528 alpha=60.00 beta=60.00 gamma=60.00
Positions (direct):
Hf1 0.000 0.000 0.000
Hf2 0.250 0.250 0.250
Zn1 0.750 0.750 0.750
B1 0.500 0.500 0.500

Going by the computed energies, the most stable comes first: w, x.

w.
Material: Hg2B
Method: DFT, GGA-PBE
State: relaxed

**Crystal system**: cubic
**Space-group type**: Fd-3m

Unit cell a=7.175 b=7.175 c=7.175 alpha=60.00 beta=60.00 gamma=60.00
Positions (direct):
Hg1 0.000 0.000 0.000
Hg2 0.000 0.000 0.500
Hg3 0.000 0.500 0.000
Hg4 0.500 0.000 0.000
B1 0.125 0.125 0.125
B2 0.875 0.875 0.875

x.
Material: Hg2B
Method: DFT, GGA-PBE
State: relaxed

**Crystal system**: cubic
**Space-group type**: Fd-3m

Unit cell a=5.782 b=5.782 c=5.782 alpha=60.00 beta=60.00 gamma=60.00
Positions (direct):
Hg1 0.000 0.000 0.000
Hg2 0.000 0.000 0.500
Hg3 0.000 0.500 0.000
Hg4 0.500 0.000 0.000
B1 0.375 0.375 0.375
B2 0.625 0.625 0.625

Going by the computed energies, the most stable comes first: w, x.

w.
Material: HgB2
Method: DFT, GGA-PBE
State: relaxed

**Crystal system**: cubic
**Space-group type**: Fd-3m

Unit cell a=6.877 b=6.877 c=6.877 alpha=60.00 beta=60.00 gamma=60.00
Positions (direct):
Hg1 0.125 0.125 0.125
Hg2 0.875 0.875 0.875
B1 0.000 0.000 0.000
B2 0.000 0.000 0.500
B3 0.000 0.500 0.000
B4 0.500 0.000 0.000

x.
Material: HgB2
Method: DFT, GGA-PBE
State: relaxed

**Crystal system**: cubic
**Space-group type**: Fd-3m

Unit cell a=4.744 b=4.744 c=4.744 alpha=60.00 beta=60.00 gamma=60.00
Positions (direct):
Hg1 0.125 0.125 0.125
Hg2 0.875 0.875 0.875
B1 0.000 0.500 0.500
B2 0.500 0.000 0.500
B3 0.500 0.500 0.000
B4 0.500 0.500 0.500

Going by the computed energies, the most stable comes first: x, w.

w.
Material: HoHgB4
Method: DFT, GGA-PBE
State: relaxed

**Crystal system**: hexagonal
**Space-group type**: P6/mmm

Unit cell a=3.227 b=3.227 c=7.843 alpha=90.00 beta=90.00 gamma=120.00
Positions (direct):
Ho1 0.000 0.000 0.000
Hg1 0.000 0.000 0.500
B1 0.333 0.667 0.238
B2 0.333 0.667 0.762
B3 0.667 0.333 0.238
B4 0.667 0.333 0.762

x.
Material: HoHgB4
Method: DFT, GGA-PBE
State: relaxed

**Crystal system**: orthorhombic
**Space-group type**: Immm

Unit cell a=5.186 b=5.186 c=5.186 alpha=144.03 beta=118.57 gamma=73.29
Positions (direct):
Ho1 0.000 0.000 0.000
Hg1 0.500 0.500 0.000
B1 0.050 0.732 0.318
B2 0.414 0.732 0.682
B3 0.586 0.268 0.318
B4 0.950 0.268 0.682

Going by the computed energies, the most stable comes first: x, w.

w.
Material: InHgB4
Method: DFT, GGA-PBE
State: relaxed

**Crystal system**: hexagonal
**Space-group type**: P6/mmm

Unit cell a=3.078 b=3.078 c=9.389 alpha=90.00 beta=90.00 gamma=120.00
Positions (direct):
In1 0.000 0.000 0.000
Hg1 0.000 0.000 0.500
B1 0.333 0.667 0.212
B2 0.333 0.667 0.788
B3 0.667 0.333 0.212
B4 0.667 0.333 0.788

x.
Material: InHgB4
Method: DFT, GGA-PBE
State: relaxed

**Crystal system**: orthorhombic
**Space-group type**: Immm

Unit cell a=5.452 b=5.452 c=5.452 alpha=147.02 beta=121.75 gamma=68.59
Positions (direct):
In1 0.000 0.000 0.000
Hg1 0.500 0.500 0.000
B1 0.077 0.746 0.331
B2 0.414 0.746 0.669
B3 0.586 0.254 0.331
B4 0.923 0.254 0.669

Going by the computed energies, the most stable comes first: w, x.

w.
Material: LaHgB4
Method: DFT, GGA-PBE
State: relaxed

**Crystal system**: orthorhombic
**Space-group type**: Immm

Unit cell a=5.486 b=5.486 c=5.486 alpha=145.91 beta=120.17 gamma=70.68
Positions (direct):
La1 0.000 0.000 0.000
Hg1 0.500 0.500 0.000
B1 0.054 0.738 0.316
B2 0.422 0.738 0.684
B3 0.578 0.262 0.316
B4 0.946 0.262 0.684

x.
Material: LaHgB4
Method: DFT, GGA-PBE
State: relaxed

**Crystal system**: hexagonal
**Space-group type**: P6/mmm

Unit cell a=3.226 b=3.226 c=8.360 alpha=90.00 beta=90.00 gamma=120.00
Positions (direct):
La1 0.000 0.000 0.000
Hg1 0.000 0.000 0.500
B1 0.333 0.667 0.256
B2 0.333 0.667 0.744
B3 0.667 0.333 0.256
B4 0.667 0.333 0.744

Going by the computed energies, the most stable comes first: w, x.